# MgFeCoCu | Alexandria via LeMat-Bulk | PBE-GGA | optimized geometry
data_MgFeCoCu
_space_group_name_H-M_alt 'F -4 3 m'
_space_group_IT_number 216
_space_group_name_Hall 'F -4 2 3'
_cell_length_a 5.908
_cell_length_b 5.908
_cell_length_c 5.908
_cell_angle_alpha 90.00
_cell_angle_beta 90.00
_cell_angle_gamma 90.00
loop_
_atom_site_label
_atom_site_fract_x
_atom_site_fract_y
_atom_site_fract_z
Mg1 0.000 0.000 0.000
Fe1 0.000 0.000 0.500
Co1 0.250 0.250 0.250
Cu1 0.250 0.250 0.750
# Mass density, g cm⁻³: 6.53
# Magnetization, μB/atom: 0.956
# DFT total energy, eV per formula unit: -20.8
# Formation energy, kJ/mol of formula units: 42